No. 1
VASP calculation (PBE-GGA) on crystalline LiSm2Ga4Pt3 at its relaxed geometry.

The structure belongs to space group P-4m2 (No. 115); the cell edges are 4.195, 4.195 and 10.877 Å and the angles 90.00°, 90.00° and 90.00°. Symmetry generates all atoms from Li at (0.000, 0.000, 0.000), Sm at (0.000, 0.500, 0.742), Ga at (0.000, 0.000, 0.500), Ga at (0.000, 0.500, 0.132), Ga at (0.500, 0.500, 0.500), Pt at (0.000, 0.500, 0.363) and Pt at (0.500, 0.500, 0.000).

The calculation puts the formation energy at -0.873 eV per atom. The total energy comes out at -50.3 eV/f.u. The magnetization is 0.0 Bohr magnetons per cell.

No. 2
VASP calculation (PBE-GGA) on crystalline LiSmGa2Pt2 at its relaxed geometry.

The structure belongs to space group P-3m1 (No. 164); the cell edges are 4.3847, 4.3847 and 6.6149 Å and the angles 90.00°, 90.00° and 120.00°. Symmetry generates all atoms from Li at (0.0000, 0.0000, 0.0000), Sm at (0.0000, 0.0000, 0.5000), Ga at (0.3333, 0.6667, 0.8178) and Pt at (0.3333, 0.6667, 0.2181).

The calculation puts the formation energy at -0.908 eV per atom. The total energy comes out at -30.2 eV/f.u. The magnetization is 0.0 Bohr magnetons per cell.

No. 3
VASP calculation (PBE-GGA) on crystalline LiSmGa2Pt4 at its relaxed geometry.

The structure belongs to space group R-3m (No. 166, hexagonal axes); the cell edges are 4.3130, 4.3130 and 25.3053 Å and the angles 90.00°, 90.00° and 120.00°. Symmetry generates all atoms from Li at (0.0000, 0.0000, 0.0000), Sm at (0.0000, 0.0000, 0.5000), Ga at (0.0000, 0.0000, 0.2616), Pt at (0.0000, 0.0000, 0.0966) and Pt at (0.0000, 0.0000, 0.3677).

The calculation puts the formation energy at -0.847 eV per atom. The total energy comes out at -43.6 eV/f.u. The magnetization is 0.0 Bohr magnetons per cell.

No. 4
VASP calculation (PBE-GGA) on crystalline LiSmGa2Pt at its relaxed geometry.

The structure belongs to space group I-4m2 (No. 119); the cell edges are 4.137, 4.137 and 11.057 Å and the angles 90.00°, 90.00° and 90.00°. Symmetry generates all atoms from Li at (0.000, 0.000, 0.000), Sm at (0.000, 0.500, 0.750), Ga at (0.000, 0.500, 0.133) and Pt at (0.000, 0.000, 0.500).

The calculation puts the formation energy at -0.690 eV per atom. The total energy comes out at -22.2 eV/f.u. The magnetization is 0.0 Bohr magnetons per cell.

No. 5
VASP calculation (PBE-GGA) on crystalline SrLiGa2Pt at its relaxed geometry.

The structure belongs to space group P4/mmm (No. 123); the cell edges are 4.856, 4.856 and 4.913 Å and the angles 90.00°, 90.00° and 90.00°. Symmetry generates all atoms from Sr at (0.000, 0.000, 0.000), Li at (0.500, 0.500, 0.000), Ga at (0.000, 0.500, 0.500) and Pt at (0.500, 0.500, 0.500).

The excess energy over the best structure of this formula in the dataset is 104.7 meV/atom. The calculation puts the formation energy at -0.493 eV per atom. The total energy comes out at -18.2 eV/f.u. The magnetization is 0.0 Bohr magnetons per cell.

No. 6
VASP calculation (PBE-GGA) on crystalline SrLiGa2Pt at its relaxed geometry.

The structure belongs to space group I-4m2 (No. 119); the cell edges are 4.515, 4.515 and 10.169 Å and the angles 90.00°, 90.00° and 90.00°. Symmetry generates all atoms from Sr at (0.000, 0.000, 0.000), Li at (0.000, 0.500, 0.250), Ga at (0.000, 0.000, 0.369) and Pt at (0.000, 0.500, 0.750).

The excess energy over the best structure of this formula in the dataset is 0.0 meV/atom. The calculation puts the formation energy at -0.598 eV per atom. The total energy comes out at -18.7 eV/f.u. The magnetization is 0.0 Bohr magnetons per cell.

No. 7
VASP calculation (PBE-GGA) on crystalline SrLiGaPt2 at its relaxed geometry.

The structure belongs to space group I-4m2 (No. 119); the cell edges are 4.228, 4.228 and 11.201 Å and the angles 90.00°, 90.00° and 90.00°. Symmetry generates all atoms from Sr at (0.000, 0.000, 0.000), Li at (0.000, 0.500, 0.250), Ga at (0.000, 0.500, 0.750) and Pt at (0.000, 0.000, 0.380).

The calculation puts the formation energy at -0.806 eV per atom. The total energy comes out at -22.7 eV/f.u. The magnetization is 0.0 Bohr magnetons per cell.

No. 8
VASP calculation (PBE-GGA) on crystalline Sr2LiGa4Pt3 at its relaxed geometry.

The structure belongs to space group P-4m2 (No. 115); the cell edges are 4.498, 4.498 and 10.088 Å and the angles 90.00°, 90.00° and 90.00°. Symmetry generates all atoms from Sr at (0.000, 0.500, 0.249), Li at (0.500, 0.500, 0.000), Ga at (0.000, 0.000, 0.500), Ga at (0.000, 0.500, 0.879), Ga at (0.500, 0.500, 0.500), Pt at (0.000, 0.000, 0.000) and Pt at (0.000, 0.500, 0.629).

The calculation puts the formation energy at -0.776 eV per atom. The total energy comes out at -43.3 eV/f.u. The magnetization is 0.0 Bohr magnetons per cell.

No. 9
VASP calculation (PBE-GGA) on crystalline SrLiGa2Pt2 at its relaxed geometry.

The structure belongs to space group P-3m1 (No. 164); the cell edges are 4.3899, 4.3899 and 7.1256 Å and the angles 90.00°, 90.00° and 120.00°. Symmetry generates all atoms from Sr at (0.0000, 0.0000, 0.0000), Li at (0.0000, 0.0000, 0.5000), Ga at (0.3333, 0.6667, 0.3285) and Pt at (0.3333, 0.6667, 0.6948).

The calculation puts the formation energy at -0.821 eV per atom. The total energy comes out at -26.7 eV/f.u. The magnetization is 0.0 Bohr magnetons per cell.

No. 10
VASP calculation (PBE-GGA) on crystalline SrLi2GaPt2 at its relaxed geometry.

The structure belongs to space group P4/mmm (No. 123); the cell edges are 4.830, 4.830 and 5.969 Å and the angles 90.00°, 90.00° and 90.00°. Symmetry generates all atoms from Sr at (0.000, 0.000, 0.000), Li at (0.500, 0.500, 0.296), Ga at (0.000, 0.000, 0.500) and Pt at (0.000, 0.500, 0.500).

The calculation puts the formation energy at -0.411 eV per atom. The total energy comes out at -23.1 eV/f.u. The magnetization is 0.0 Bohr magnetons per cell.

No. 11
VASP calculation (PBE-GGA) on crystalline SrLiGa4Pt2 at its relaxed geometry.

The structure belongs to space group R-3m (No. 166, hexagonal axes); the cell edges are 4.3292, 4.3292 and 27.7426 Å and the angles 90.00°, 90.00° and 120.00°. Symmetry generates all atoms from Sr at (0.0000, 0.0000, 0.0000), Li at (0.0000, 0.0000, 0.5000), Ga at (0.0000, 0.0000, 0.1308), Ga at (0.0000, 0.0000, 0.4066) and Pt at (0.0000, 0.0000, 0.2286).

The calculation puts the formation energy at -0.665 eV per atom. The total energy comes out at -33.1 eV/f.u. The magnetization is 0.0 Bohr magnetons per cell.

No. 12
VASP calculation (PBE-GGA) on crystalline SrLiGaPt at its relaxed geometry.

The structure belongs to space group R3m (No. 160, hexagonal axes); the cell edges are 4.4520, 4.4520 and 15.8866 Å and the angles 90.00°, 90.00° and 120.00°. Symmetry generates all atoms from Sr at (0.0000, 0.0000, 0.0000), Li at (0.0000, 0.0000, 0.1873), Ga at (0.0000, 0.0000, 0.4762) and Pt at (0.0000, 0.0000, 0.8013).

The calculation puts the formation energy at -0.687 eV per atom. The total energy comes out at -15.4 eV/f.u. The magnetization is 0.0 Bohr magnetons per cell.

No. 13
VASP calculation (PBE-GGA) on crystalline LiTbGaPt3 at its relaxed geometry.

The structure belongs to space group Cmcm (No. 63); the cell edges are 5.664, 12.963 and 5.735 Å and the angles 90.00°, 90.00° and 90.00°. Symmetry generates all atoms from Li at (0.000, 0.122, 0.250), Tb at (0.000, 0.335, 0.250), Ga at (0.000, 0.380, 0.750), Pt at (0.000, 0.188, 0.750) and Pt at (0.239, 0.000, 0.000).

The calculation puts the formation energy at -0.741 eV per atom. The total energy comes out at -32.1 eV/f.u. The magnetization is 0.0 Bohr magnetons per cell.

No. 14
VASP calculation (PBE-GGA) on crystalline LiTbGa4Pt2 at its relaxed geometry.

The structure belongs to space group R-3m (No. 166, hexagonal axes); the cell edges are 4.2958, 4.2958 and 25.5503 Å and the angles 90.00°, 90.00° and 120.00°. Symmetry generates all atoms from Li at (0.0000, 0.0000, 0.0000), Tb at (0.0000, 0.0000, 0.5000), Ga at (0.0000, 0.0000, 0.1027), Ga at (0.0000, 0.0000, 0.3697) and Pt at (0.0000, 0.0000, 0.2639).

The calculation puts the formation energy at -0.723 eV per atom. The total energy comes out at -36.5 eV/f.u. The magnetization is 0.0 Bohr magnetons per cell.

No. 15
VASP calculation (PBE-GGA) on crystalline LiTb2Ga4Pt3 at its relaxed geometry.

The structure belongs to space group P-4m2 (No. 115); the cell edges are 4.119, 4.119 and 11.038 Å and the angles 90.00°, 90.00° and 90.00°. Symmetry generates all atoms from Li at (0.000, 0.000, 0.000), Tb at (0.000, 0.500, 0.744), Ga at (0.000, 0.000, 0.500), Ga at (0.000, 0.500, 0.133), Ga at (0.500, 0.500, 0.500), Pt at (0.000, 0.500, 0.359) and Pt at (0.500, 0.500, 0.000).

The calculation puts the formation energy at -0.870 eV per atom. The total energy comes out at -50.1 eV/f.u. The magnetization is 0.0 Bohr magnetons per cell.

No. 16
VASP calculation (PBE-GGA) on crystalline LiTbGaPt2 at its relaxed geometry.

The structure belongs to space group I-4m2 (No. 119); the cell edges are 3.791, 3.791 and 12.667 Å and the angles 90.00°, 90.00° and 90.00°. Symmetry generates all atoms from Li at (0.000, 0.000, 0.000), Tb at (0.000, 0.500, 0.750), Ga at (0.000, 0.000, 0.500) and Pt at (0.000, 0.500, 0.141).

The calculation puts the formation energy at -0.942 eV per atom. The total energy comes out at -26.4 eV/f.u. The magnetization is 0.0 Bohr magnetons per cell.

No. 17
VASP calculation (PBE-GGA) on crystalline LiTbGa2Pt4 at its relaxed geometry.

The structure belongs to space group R-3m (No. 166, hexagonal axes); the cell edges are 4.3209, 4.3209 and 24.7163 Å and the angles 90.00°, 90.00° and 120.00°. Symmetry generates all atoms from Li at (0.0000, 0.0000, 0.0000), Tb at (0.0000, 0.0000, 0.5000), Ga at (0.0000, 0.0000, 0.2598), Pt at (0.0000, 0.0000, 0.0986) and Pt at (0.0000, 0.0000, 0.3687).

The calculation puts the formation energy at -0.856 eV per atom. The total energy comes out at -43.6 eV/f.u. The magnetization is 0.0 Bohr magnetons per cell.

No. 18
VASP calculation (PBE-GGA) on crystalline LiThGaPt3 at its relaxed geometry.

The structure belongs to space group Cmcm (No. 63); the cell edges are 5.679, 13.028 and 5.899 Å and the angles 90.00°, 90.00° and 90.00°. Symmetry generates all atoms from Li at (0.000, 0.112, 0.250), Th at (0.000, 0.330, 0.250), Ga at (0.000, 0.381, 0.750), Pt at (0.000, 0.187, 0.750) and Pt at (0.241, 0.000, 0.000).

The calculation puts the formation energy at -0.757 eV per atom. The total energy comes out at -35.0 eV/f.u. The magnetization is 0.0 Bohr magnetons per cell.

No. 19
VASP calculation (PBE-GGA) on crystalline LiThGa2Pt2 at its relaxed geometry.

The structure belongs to space group P-3m1 (No. 164); the cell edges are 4.3817, 4.3817 and 6.7240 Å and the angles 90.00°, 90.00° and 120.00°. Symmetry generates all atoms from Li at (0.0000, 0.0000, 0.0000), Th at (0.0000, 0.0000, 0.5000), Ga at (0.3333, 0.6667, 0.8337) and Pt at (0.3333, 0.6667, 0.2322).

The calculation puts the formation energy at -0.913 eV per atom. The total energy comes out at -32.9 eV/f.u. The magnetization is 0.0 Bohr magnetons per cell.

No. 20
VASP calculation (PBE-GGA) on crystalline LiTh2Ga3Pt4 at its relaxed geometry.

The structure belongs to space group P-4m2 (No. 115); the cell edges are 4.110, 4.110 and 11.330 Å and the angles 90.00°, 90.00° and 90.00°. Symmetry generates all atoms from Li at (0.000, 0.000, 0.000), Th at (0.000, 0.500, 0.749), Ga at (0.000, 0.500, 0.369), Ga at (0.500, 0.500, 0.000), Pt at (0.000, 0.000, 0.500), Pt at (0.000, 0.500, 0.146) and Pt at (0.500, 0.500, 0.500).

The calculation puts the formation energy at -0.913 eV per atom. The total energy comes out at -59.1 eV/f.u. The magnetization is 0.0 Bohr magnetons per cell.